The following is a DFT calculation (PBE) of crystalline Sc2TcOs at its relaxed geometry.

```
Sc2TcOs
1.0
7.248 0.000 0.000
0.000 7.248 0.000
3.624 3.624 2.744
Tc Sc Os
2 4 2
direct
0.250 0.750 0.500
0.500 0.500 0.000
0.375 0.368 0.750
0.632 0.125 0.250
0.118 0.625 0.250
0.875 0.882 0.750
0.750 0.250 0.500
0.000 0.000 0.000
```

Properties
E_tot ... -65.5 eV/cell
E_form ... 1.5 eV per formula unit
Density ... 8.71 Mg/m³
Density of states at the Fermi level ... 8.43 states/eV/cell